Record 1
A crystal of Sc3NiF relaxed with PBEsol. Source: Alexandria via LeMat-Bulk, functional meta-GGA SCAN.

The space group is Pm-3m (No. 221) and the conventional cell measures 4.813, 4.813 and 4.813 Å, with angles of 90.00, 90.00 and 90.00 degrees. The asymmetric unit holds Sc at (0.000, 0.000, 0.500), Ni at (0.000, 0.000, 0.000) and F at (0.500, 0.500, 0.500).

Record 2
A crystal of SrPSeO2 relaxed with PBEsol. Source: Alexandria via LeMat-Bulk, functional meta-GGA SCAN.

The space group is P4/mmm (No. 123) and the conventional cell measures 4.247, 4.247 and 6.875 Å, with angles of 90.00, 90.00 and 90.00 degrees. The asymmetric unit holds Sr at (0.000, 0.000, 0.000), P at (0.000, 0.000, 0.500), Se at (0.500, 0.500, 0.500) and O at (0.000, 0.500, 0.000).

Record 3
A crystal of Sr2NiW relaxed with PBEsol. Source: Alexandria via LeMat-Bulk, functional meta-GGA SCAN.

The space group is P4/mmm (No. 123) and the conventional cell measures 5.115, 5.115 and 3.743 Å, with angles of 90.00, 90.00 and 90.00 degrees. The asymmetric unit holds Sr at (0.000, 0.500, 0.000), Ni at (0.000, 0.000, 0.500) and W at (0.500, 0.500, 0.500).

For the excess energy over the best structure of this formula in the dataset, the calculation gives 557.9 meV/atom.

Record 4
A crystal of NiWO2F relaxed with PBEsol. Source: Alexandria via LeMat-Bulk, functional meta-GGA SCAN.

The space group is P4/mmm (No. 123) and the conventional cell measures 3.820, 3.820 and 3.581 Å, with angles of 90.00, 90.00 and 90.00 degrees. The asymmetric unit holds Ni at (0.000, 0.000, 0.000), W at (0.500, 0.500, 0.500), O at (0.000, 0.500, 0.000) and F at (0.000, 0.000, 0.500).

Number 1: electronic total energy -64.3 eV/cell. Number 2: electronic total energy -64.1 eV/cell. Number 3: electronic total energy -125.4 eV/cell. Number 4: electronic total energy -103.2 eV/cell.